Density functional theory data (PBE) for an optimized crystal structure of CaLa3Pm12. Values from VASP.

Calculated values
* symmetry: P4/mmm
* density: 6.470 g cm⁻³
* DOS(E_F): 26.16 states/eV/f.u.
* raw total energy: -73.259 eV for the cell shown

```
&SYSTEM
  ibrav = 0, nat = 16, ntyp = 3
/
ATOMIC_SPECIES
La 138.91 La.upf
Pm 145.00 Pm.upf
Ca 40.08 Ca.upf
ATOMIC_POSITIONS crystal
La 0.0000 0.0000 0.2501
La 0.0000 0.0000 0.5000
La 0.0000 0.0000 0.7499
Pm 0.5000 0.5000 0.0000
Pm 0.5000 0.0000 0.3757
Pm 0.5000 0.5000 0.2490
Pm 0.0000 0.5000 0.8722
Pm 0.5000 0.0000 0.6243
Pm 0.5000 0.0000 0.8722
Pm 0.5000 0.0000 0.1278
Pm 0.0000 0.5000 0.1278
Pm 0.0000 0.5000 0.6243
Pm 0.5000 0.5000 0.7510
Pm 0.0000 0.5000 0.3757
Pm 0.5000 0.5000 0.5000
Ca 0.0000 0.0000 0.0000
CELL_PARAMETERS angstrom
-0.3805 -4.8051 -1.9806
-0.0664 -1.9812 4.8194
-20.7050 1.5025 0.3322
```